! Ba2PrOs2N6, relaxed, DFT PBE; values from VASP
! SG ... R-3m (166)
! D(E_F) ... 0.397 states/eV/atom
! Formation energy from raw total energies ... -0.426 eV per atom
&SYSTEM
  ibrav = 0, nat = 11, ntyp = 4
/
ATOMIC_SPECIES
Ba 137.33 Ba.upf
Pr 140.91 Pr.upf
Os 190.23 Os.upf
N 14.01 N.upf
ATOMIC_POSITIONS crystal
Ba 0.213 0.213 0.213
Ba 0.787 0.787 0.787
Pr 0.000 0.000 0.000
Os 0.404 0.404 0.404
Os 0.596 0.596 0.596
N 0.250 0.742 0.742
N 0.258 0.258 0.750
N 0.258 0.750 0.258
N 0.742 0.250 0.742
N 0.742 0.742 0.250
N 0.750 0.258 0.258
CELL_PARAMETERS angstrom
3.078 1.777 6.401
-3.078 1.777 6.401
0.000 -3.555 6.401